(1)
Here is an optimized crystal structure of LuScZn2 from Alexandria via LeMat-Bulk. Energies are from PBE.

space group = Fm-3m, No. 225
distance to the lowest polymorph of the same formula = 0.000 eV/atom
Fermi-level density of states = 0.69 states/eV/atom

The structure in POSCAR format:
```
LuScZn2
1.0
6.844 0.000 0.000
0.000 6.844 0.000
0.000 0.000 6.844
Lu Sc Zn
4 4 8
Cartesian
0.000 0.000 0.000
0.000 3.422 3.422
3.422 0.000 3.422
3.422 3.422 0.000
0.000 0.000 3.422
0.000 3.422 0.000
3.422 0.000 0.000
3.422 3.422 3.422
1.711 1.711 1.711
1.711 1.711 5.133
1.711 5.133 1.711
1.711 5.133 5.133
5.133 1.711 1.711
5.133 1.711 5.133
5.133 5.133 1.711
5.133 5.133 5.133
```


(2)
Here is an optimized crystal structure of PrNd6YTm2 from Alexandria via LeMat-Bulk. Energies are from PBE.

space group = C2/c, No. 15
Fermi-level density of states = 1.51 states/eV/atom

The structure in POSCAR format:
```
PrNd6YTm2
1.0
4.640 -7.670 0.000
4.640 7.670 0.000
-1.347 0.000 9.672
Pr Nd Y Tm
2 12 2 4
Cartesian
3.630 6.238 7.254
4.303 -6.238 2.418
3.208 6.039 3.670
2.457 3.469 1.774
5.398 6.039 1.166
3.298 2.706 5.360
3.961 2.706 9.148
6.149 3.469 3.062
1.783 -3.469 6.609
3.971 -2.706 0.524
4.635 -2.706 4.312
2.534 -6.039 8.506
5.476 -3.469 7.898
4.725 -6.039 6.002
4.303 0.441 2.418
3.630 -0.441 7.254
1.083 0.754 9.227
1.756 -0.754 4.391
6.176 0.754 5.280
6.849 -0.754 0.445
```


(3)
Here is an optimized crystal structure of BaDyTlGa from Alexandria via LeMat-Bulk. Energies are from PBE.

space group = F-43m, No. 216
Fermi-level density of states = 1.10 states/eV/atom

The structure in POSCAR format:
```
BaDyTlGa
1.0
7.905 0.000 0.000
0.000 7.905 0.000
0.000 0.000 7.905
Ba Dy Tl Ga
4 4 4 4
Cartesian
0.000 0.000 0.000
0.000 3.953 3.953
3.953 0.000 3.953
3.953 3.953 0.000
0.000 0.000 3.953
0.000 3.953 0.000
3.953 0.000 0.000
3.953 3.953 3.953
1.976 1.976 5.929
1.976 5.929 1.976
5.929 1.976 1.976
5.929 5.929 5.929
1.976 1.976 1.976
1.976 5.929 5.929
5.929 1.976 5.929
5.929 5.929 1.976
```


(4)
Here is an optimized crystal structure of LaGa3Ir3 from Alexandria via LeMat-Bulk. Energies are from PBE.

space group = Pm-3n, No. 223
Fermi-level density of states = 0.70 states/eV/atom

The structure in POSCAR format:
```
LaGa3Ir3
1.0
6.783 0.000 0.000
0.000 6.783 0.000
0.000 0.000 6.783
La Ga Ir
2 6 6
Cartesian
0.000 0.000 0.000
3.392 3.392 3.392
0.000 1.696 3.392
0.000 5.088 3.392
1.696 3.392 0.000
3.392 0.000 1.696
3.392 0.000 5.088
5.088 3.392 0.000
0.000 3.392 1.696
0.000 3.392 5.088
1.696 0.000 3.392
3.392 1.696 0.000
3.392 5.088 0.000
5.088 0.000 3.392
```


no.,DFT formation energy (meV/atom)
1,-361
2,113
3,-245
4,-109